Model P:
Entry from Alexandria: a geometry-optimized Ge3TeSe2 structure (PBE).

a = 7.019 Å, b = 4.004 Å, c = 11.312 Å
α = 90.00°, β = 101.08°, γ = 90.00°
Fractional positions:
Ge (0.098, 0.250, 0.165)
Ge (0.254, 0.250, 0.521)
Ge (0.339, 0.250, 0.855)
Ge (0.661, 0.750, 0.145)
Ge (0.746, 0.750, 0.479)
Ge (0.902, 0.750, 0.835)
Te (0.474, 0.750, 0.656)
Te (0.526, 0.250, 0.344)
Se (0.002, 0.750, 0.298)
Se (0.243, 0.750, 0.989)
Se (0.757, 0.250, 0.011)
Se (0.998, 0.250, 0.702)

Values from the calculation:
Density of states at the Fermi level, states/eV/f.u.: 0.01
Space group: No. 11
Magnetic moment, μB per formula unit: 0.000

Model Q:
Entry from Alexandria: a geometry-optimized Ge3TeSe2 structure (PBE).

a = 8.076 Å, b = 8.076 Å, c = 6.063 Å
α = 90.00°, β = 90.00°, γ = 90.28°
Fractional positions:
Ge (0.152, 0.506, 0.968)
Ge (0.179, 0.821, 0.500)
Ge (0.494, 0.848, 0.968)
Ge (0.506, 0.152, 0.468)
Ge (0.821, 0.179, 0.000)
Ge (0.848, 0.494, 0.468)
Te (0.154, 0.846, 0.023)
Te (0.846, 0.154, 0.523)
Se (0.163, 0.505, 0.527)
Se (0.495, 0.837, 0.527)
Se (0.505, 0.163, 0.027)
Se (0.837, 0.495, 0.027)

Values from the calculation:
Space group: No. 36
Magnetic moment, μB per formula unit: 0.000

Winner for stability: model P